# PBE-GGA Ca2ThTl3Te6, optimized geometry
data_Ca2ThTl3Te6
_chemical_formula_sum 'Ca4 Th2 Tl6 Te12'
_cell_length_a 7.916
_cell_length_b 13.713
_cell_length_c 8.380
_cell_angle_alpha 90.00
_cell_angle_beta 108.34
_cell_angle_gamma 90.00
_space_group_name_H-M_alt 'C 1 2/m 1'
_space_group_IT_number 12
loop_
_space_group_symop_operation_xyz
'x,y,z'
'-x,-y,-z'
'-x,y,-z'
'x,-y,z'
'x+1/2,y+1/2,z'
'-x+1/2,-y+1/2,-z'
'-x+1/2,y+1/2,-z'
'x+1/2,-y+1/2,z'
loop_
_atom_site_label
_atom_site_fract_x
_atom_site_fract_y
_atom_site_fract_z
Ca1 0.000 0.166 0.000
Th1 0.000 0.500 0.000
Tl1 0.000 0.000 0.500
Tl2 0.000 0.333 0.500
Te1 0.238 0.337 0.222
Te2 0.249 0.000 0.225
# - magnetization (μB/atom) = 0.00
# - VASP energy (eV per atom) = -4.0699